(1)
Entry from the Alexandria database: a relaxed structure of BaBSe2 (PBE).

Structure (CIF):
```
data_BaBSe2
_chemical_formula_sum 'Ba3 B3 Se6'
_symmetry_space_group_name_H-M 'R -3 m'
_symmetry_Int_Tables_number 166
_symmetry_space_group_name_Hall '-R 3 2"'
_cell_length_a 3.7005
_cell_length_b 3.7005
_cell_length_c 22.6564
_cell_angle_alpha 90.00
_cell_angle_beta 90.00
_cell_angle_gamma 120.00
loop_
_atom_site_label
_atom_site_type_symbol
_atom_site_fract_x
_atom_site_fract_y
_atom_site_fract_z
Ba1 Ba 0.0000 0.0000 0.0000
B1 B 0.0000 0.0000 0.5000
Se1 Se 0.0000 0.0000 0.2222
```

Summary:
The total magnetization comes out at 0.000 μB per atom. As for the uncorrected formation energy: 100 meV per atom.


(2)
Entry from the Alexandria database: a relaxed structure of BaBSe3 (PBE).

Structure (CIF):
```
data_BaBSe3
_chemical_formula_sum 'Ba1 B1 Se3'
_symmetry_space_group_name_H-M 'P m -3 m'
_symmetry_Int_Tables_number 221
_symmetry_space_group_name_Hall '-P 4 2 3'
_cell_length_a 4.814
_cell_length_b 4.814
_cell_length_c 4.814
_cell_angle_alpha 90.00
_cell_angle_beta 90.00
_cell_angle_gamma 90.00
loop_
_atom_site_label
_atom_site_type_symbol
_atom_site_fract_x
_atom_site_fract_y
_atom_site_fract_z
Ba1 Ba 0.000 0.000 0.000
B1 B 0.500 0.500 0.500
Se1 Se 0.000 0.500 0.500
```

Summary:
The polymorph energy (0 for the lowest one) comes out at 598 meV/atom. The total magnetization comes out at 0.000 μB per atom. As for the uncorrected formation energy: -284 meV per atom.


(3)
Entry from the Alexandria database: a relaxed structure of BaB3Se (PBE).

Structure (CIF):
```
data_BaB3Se
_chemical_formula_sum 'Ba1 B3 Se1'
_symmetry_space_group_name_H-M 'P m -3 m'
_symmetry_Int_Tables_number 221
_symmetry_space_group_name_Hall '-P 4 2 3'
_cell_length_a 5.187
_cell_length_b 5.187
_cell_length_c 5.187
_cell_angle_alpha 90.00
_cell_angle_beta 90.00
_cell_angle_gamma 90.00
loop_
_atom_site_label
_atom_site_type_symbol
_atom_site_fract_x
_atom_site_fract_y
_atom_site_fract_z
Ba1 Ba 0.000 0.000 0.000
B1 B 0.000 0.000 0.500
Se1 Se 0.500 0.500 0.500
```

Summary:
The polymorph energy (0 for the lowest one) comes out at 1298 meV/atom. The total magnetization comes out at 0.000 μB per atom. As for the uncorrected formation energy: 2826 meV per atom.


(4)
Entry from the Alexandria database: a relaxed structure of BaBSe3 (PBE).

Structure (CIF):
```
data_BaBSe3
_chemical_formula_sum 'Ba1 B1 Se3'
_symmetry_space_group_name_H-M 'P m -3 m'
_symmetry_Int_Tables_number 221
_symmetry_space_group_name_Hall '-P 4 2 3'
_cell_length_a 6.260
_cell_length_b 6.260
_cell_length_c 6.260
_cell_angle_alpha 90.00
_cell_angle_beta 90.00
_cell_angle_gamma 90.00
loop_
_atom_site_label
_atom_site_type_symbol
_atom_site_fract_x
_atom_site_fract_y
_atom_site_fract_z
Ba1 Ba 0.000 0.000 0.000
B1 B 0.500 0.500 0.500
Se1 Se 0.000 0.000 0.500
```

Summary:
The polymorph energy (0 for the lowest one) comes out at 2065 meV/atom. The total magnetization comes out at 0.600 μB per atom. As for the uncorrected formation energy: 1183 meV per atom.


(5)
Entry from the Alexandria database: a relaxed structure of BaBSe3 (PBE).

Structure (CIF):
```
data_BaBSe3
_chemical_formula_sum 'Ba4 B4 Se12'
_symmetry_space_group_name_H-M 'C 1 2/m 1'
_symmetry_Int_Tables_number 12
_cell_length_a 12.718
_cell_length_b 5.965
_cell_length_c 8.882
_cell_angle_alpha 90.00
_cell_angle_beta 111.62
_cell_angle_gamma 90.00
loop_
_symmetry_equiv_pos_as_xyz
'x,y,z'
'-x,-y,-z'
'-x,y,-z'
'x,-y,z'
'x+1/2,y+1/2,z'
'-x+1/2,-y+1/2,-z'
'-x+1/2,y+1/2,-z'
'x+1/2,-y+1/2,z'
loop_
_atom_site_label
_atom_site_type_symbol
_atom_site_fract_x
_atom_site_fract_y
_atom_site_fract_z
Ba1 Ba 0.185 0.000 0.215
B1 B 0.132 0.000 0.747
Se1 Se 0.072 0.252 0.837
Se2 Se 0.233 0.000 0.632
```

Summary:
The polymorph energy (0 for the lowest one) comes out at 18 meV/atom. The total magnetization comes out at 0.000 μB per atom. As for the uncorrected formation energy: -865 meV per atom.


(6)
Entry from the Alexandria database: a relaxed structure of BaB4Se7 (PBE).

Structure (CIF):
```
data_BaB4Se7
_chemical_formula_sum 'Ba2 B8 Se14'
_symmetry_space_group_name_H-M 'P m n 21'
_symmetry_Int_Tables_number 31
_cell_length_a 14.252
_cell_length_b 5.954
_cell_length_c 5.735
_cell_angle_alpha 90.00
_cell_angle_beta 90.00
_cell_angle_gamma 90.00
loop_
_symmetry_equiv_pos_as_xyz
'x,y,z'
'-x+1/2,-y,z+1/2'
'-x,y,z'
'x+1/2,-y,z+1/2'
loop_
_atom_site_label
_atom_site_type_symbol
_atom_site_fract_x
_atom_site_fract_y
_atom_site_fract_z
Ba1 Ba 0.000 0.196 0.000
B1 B 0.124 0.672 0.604
B2 B 0.248 0.175 0.584
Se1 Se 0.000 0.818 0.484
Se2 Se 0.125 0.338 0.508
Se3 Se 0.125 0.715 0.964
Se4 Se 0.241 0.840 0.464
```

Summary:
The total magnetization comes out at 0.000 μB per atom. As for the uncorrected formation energy: -454 meV per atom.


> What is the total magnetization in the second record?

0.000 μB per atom